Record 1
Here is a PBEsol-optimized structure of AlCr2Si from Alexandria. Energies are from meta-GGA SCAN.

Unit cell a=4.0503 b=4.0503 c=4.0503 alpha=60.00 beta=60.00 gamma=60.00
With the nearest neighbours (Å) after each atom.
Atoms (fractional coordinates):
Cr 0.0000 0.0000 0.0000  4 Cr 2.48, 4 Si 2.48
Cr 0.7500 0.7500 0.7500  4 Cr 2.48, 4 Al 2.48
Si 0.2500 0.2500 0.2500  4 Cr 2.48, 4 Al 2.48
Al 0.5000 0.5000 0.5000  4 Si 2.48, 4 Cr 2.48

Size of the total moment   0.000 μB/atom
Space group   F-43m (216)
Formation energy from raw total energies   -0.048 eV/atom


Record 2
Here is a PBEsol-optimized structure of SrAlCr3 from Alexandria. Energies are from meta-GGA SCAN.

Unit cell a=4.8499 b=4.8499 c=4.8499 alpha=90.00 beta=90.00 gamma=90.00
With the nearest neighbours (Å) after each atom.
Atoms (fractional coordinates):
Sr 0.0000 0.0000 0.0000  6 Cr 2.42
Al 0.5000 0.5000 0.5000  12 Cr 3.43
Cr 0.0000 0.5000 0.0000  2 Sr 2.42
Cr 0.0000 0.0000 0.5000  2 Sr 2.42
Cr 0.5000 0.0000 0.0000  2 Sr 2.42

Size of the total moment   2.514 μB/atom
Space group   Pm-3m (221)
Formation energy   2.143 eV per atom


Record 3
Here is a PBEsol-optimized structure of Sr3AlCr from Alexandria. Energies are from meta-GGA SCAN.

Unit cell a=6.1315 b=6.1315 c=6.1315 alpha=90.00 beta=90.00 gamma=90.00
With the nearest neighbours (Å) after each atom.
Atoms (fractional coordinates):
Sr 0.0000 0.5000 0.0000  2 Al 3.07
Sr 0.0000 0.0000 0.5000  2 Al 3.07
Sr 0.5000 0.0000 0.0000  2 Al 3.07
Al 0.0000 0.0000 0.0000  6 Sr 3.07
Cr 0.5000 0.5000 0.5000  12 Sr 4.34

Size of the total moment   0.992 μB/atom
Space group   Pm-3m (221)
Formation energy   0.492 eV per atom


Record 4
Here is a PBEsol-optimized structure of SrAlCr from Alexandria. Energies are from meta-GGA SCAN.

Unit cell a=4.9217 b=4.9217 c=4.9217 alpha=60.00 beta=60.00 gamma=60.00
With the nearest neighbours (Å) after each atom.
Atoms (fractional coordinates):
Sr 0.5000 0.5000 0.5000  4 Al 3.01
Al 0.2500 0.2500 0.2500  4 Sr 3.01, 4 Cr 3.01
Cr 0.0000 0.0000 0.0000  4 Al 3.01

Size of the total moment   1.148 μB/atom
Space group   F-43m (216)
Formation energy   0.456 eV per atom


What did the second record say?
Here is a PBEsol-optimized structure of SrAlCr3 from Alexandria. Energies are from meta-GGA SCAN.

Unit cell a=4.8499 b=4.8499 c=4.8499 alpha=90.00 beta=90.00 gamma=90.00
With the nearest neighbours (Å) after each atom.
Atoms (fractional coordinates):
Sr 0.0000 0.0000 0.0000  6 Cr 2.42
Al 0.5000 0.5000 0.5000  12 Cr 3.43
Cr 0.0000 0.5000 0.0000  2 Sr 2.42
Cr 0.0000 0.0000 0.5000  2 Sr 2.42
Cr 0.5000 0.0000 0.0000  2 Sr 2.42

Size of the total moment   2.514 μB/atom
Space group   Pm-3m (221)
Formation energy   2.143 eV per atom


- The highest size of the total moment belongs to which entry?
  SrAlCr3


- Among the records above, which one has the lowest size of the total moment?
  AlCr2Si